# 1
A geometry-optimized Ho5ScAl3 structure, computed with PBE-GGA.

a b c (Å): 6.5059 8.9636 8.9632
angles (deg): 120.00 90.00 90.00
With the nearest neighbours (Å) after each atom.
Element x y z (fractional)
Sc  0.0000  0.0000  0.0000  2 Sc 3.25, 6 Ho 3.34, 6 Al 3.42
Al  0.2500  0.6642  0.6642  5 Ho 2.97-3.25
Al  0.7500  0.0000  0.6642  5 Ho 2.97-3.25
Ho  0.5000  0.6667  0.3334  8 Ho 3.25-3.43, 6 Al 3.39
Ho  0.2500  0.6742  0.0000  5 Al 2.97-3.25
Ho  0.0000  0.3333  0.6666  8 Ho 3.25-3.43, 6 Al 3.39
Ho  0.7500  0.0000  0.3258  5 Al 2.97-3.25
Al  0.7500  0.3358  0.3358  5 Ho 2.97-3.25
Ho  0.2500  0.3258  0.3258  5 Al 2.97-3.25
Ho  0.2500  0.0000  0.6742  5 Al 2.97-3.25
Sc  0.5000  0.0000  0.0000  2 Sc 3.25, 6 Ho 3.34, 6 Al 3.42
Al  0.2500  0.0000  0.3358  5 Ho 2.97-3.25
Ho  0.0000  0.6667  0.3334  8 Ho 3.25-3.43, 6 Al 3.39
Al  0.7500  0.6642  0.0000  5 Ho 2.97-3.25
Ho  0.7500  0.6742  0.6742  5 Al 2.97-3.25
Ho  0.7500  0.3258  0.0000  5 Al 2.97-3.25
Ho  0.5000  0.3333  0.6666  8 Ho 3.25-3.43, 6 Al 3.39
Al  0.2500  0.3358  0.0000  5 Ho 2.97-3.25

- ρ (g cm⁻³) = 7.0
- ΔE_f (eV per atom) = -0.276
- space-group type = P6_3/mcm (193)
- density of states at the Fermi level (states/eV/atom) = 0.978

=====

# 2
A geometry-optimized Ho2ScAl6 structure, computed with PBE-GGA.

a b c (Å): 3.3674 7.8486 7.8486
angles (deg): 120.00 90.00 90.00
With the nearest neighbours (Å) after each atom.
Element x y z (fractional)
Al  0.5000  0.6696  0.6696  3 Al 2.59-2.66
Sc  0.0000  0.0000  0.0000  12 Al 3.09, 2 Sc 3.37
Ho  0.0000  0.6667  0.3333  12 Al 3.12, 2 Ho 3.37
Al  0.5000  0.0000  0.6696  3 Al 2.59-2.66
Al  0.5000  0.3304  0.0000  3 Al 2.59-2.66
Al  0.5000  0.3304  0.3304  3 Al 2.59-2.66
Al  0.5000  0.6696  0.0000  3 Al 2.59-2.66
Al  0.5000  0.0000  0.3304  3 Al 2.59-2.66
Ho  0.0000  0.3333  0.6667  12 Al 3.12, 2 Ho 3.37

- ρ (g cm⁻³) = 5.0
- ΔE_f (eV per atom) = -0.474
- space-group type = P6/mmm (191)
- density of states at the Fermi level (states/eV/atom) = 0.191

=====

# 3
A geometry-optimized HoSc2Al structure, computed with PBE-GGA.

a b c (Å): 3.3259 3.3259 8.5249
angles (deg): 90.00 90.00 90.00
With the nearest neighbours (Å) after each atom.
Element x y z (fractional)
Sc  0.0000  0.0000  0.2118  4 Al 2.97
Al  0.5000  0.5000  0.0000  8 Sc 2.97
Ho  0.5000  0.5000  0.5000  4 Ho 3.33, 8 Sc 3.40
Sc  0.0000  0.0000  0.7882  4 Al 2.97

- ρ (g cm⁻³) = 5.0
- ΔE_f (eV per atom) = -0.208
- space-group type = P4/mmm (123)
- ΔE to the lowest computed polymorph (meV/atom) = 17
- density of states at the Fermi level (states/eV/atom) = 1.032

=====

# 4
A geometry-optimized Ho2Sc2Al structure, computed with PBE-GGA.

a b c (Å): 4.6901 4.6901 8.8090
angles (deg): 74.56 74.56 60.00
With the nearest neighbours (Å) after each atom.
Element x y z (fractional)
Sc  0.3038  0.3038  0.0887  3 Al 2.81, 3 Sc 3.09
Ho  0.4321  0.4321  0.7038  4 Sc 3.22-3.23, 1 Ho 3.42
Al  0.0000  0.0000  0.0000  6 Sc 2.81
Ho  0.5679  0.5679  0.2962  4 Sc 3.22-3.23, 1 Ho 3.42
Sc  0.6962  0.6962  0.9113  3 Al 2.81, 3 Sc 3.09

- ρ (g cm⁻³) = 4.6
- ΔE_f (eV per atom) = 0.383
- space-group type = R-3m (166)
- density of states at the Fermi level (states/eV/atom) = 1.250

=====

# 5
A geometry-optimized HoSc12Al3 structure, computed with PBE-GGA.

a b c (Å): 4.4606 4.4606 18.2271
angles (deg): 90.00 90.00 90.00
With the nearest neighbours (Å) after each atom.
Element x y z (fractional)
Sc  0.5000  0.5000  0.5000  8 Sc 3.13, 4 Al 3.15
Ho  0.0000  0.0000  0.0000  12 Sc 3.15-3.35
Sc  0.5000  0.0000  0.1373  2 Al 3.14, 8 Sc 3.15-3.35, 2 Ho 3.35
Al  0.0000  0.0000  0.5000  12 Sc 3.13-3.15
Sc  0.5000  0.5000  0.2600  8 Sc 3.12-3.16, 4 Al 3.15
Sc  0.5000  0.0000  0.3794  8 Sc 3.12-3.15, 4 Al 3.13-3.14
Al  0.0000  0.0000  0.7415  12 Sc 3.14-3.15
Al  0.0000  0.0000  0.2585  12 Sc 3.14-3.15
Sc  0.5000  0.5000  0.7400  8 Sc 3.12-3.16, 4 Al 3.15
Sc  0.5000  0.0000  0.6206  8 Sc 3.12-3.15, 4 Al 3.13-3.14
Sc  0.5000  0.5000  0.0000  4 Ho 3.15, 8 Sc 3.35
Sc  0.0000  0.5000  0.1373  2 Al 3.14, 8 Sc 3.15-3.35, 2 Ho 3.35
Sc  0.0000  0.5000  0.8627  2 Al 3.14, 8 Sc 3.15-3.35, 2 Ho 3.35
Sc  0.0000  0.5000  0.6206  8 Sc 3.12-3.15, 4 Al 3.13-3.14
Sc  0.5000  0.0000  0.8627  2 Al 3.14, 8 Sc 3.15-3.35, 2 Ho 3.35
Sc  0.0000  0.5000  0.3794  8 Sc 3.12-3.15, 4 Al 3.13-3.14

- ρ (g cm⁻³) = 3.6
- ΔE_f (eV per atom) = -0.158
- space-group type = P4/mmm (123)
- density of states at the Fermi level (states/eV/atom) = 1.435

=====

# 6
A geometry-optimized Ho4ScAl5 structure, computed with PBE-GGA.

a b c (Å): 3.5233 3.5233 17.9021
angles (deg): 90.00 90.00 90.00
With the nearest neighbours (Å) after each atom.
Element x y z (fractional)
Ho  0.0000  0.0000  0.3969  8 Al 3.10
Al  0.5000  0.5000  0.9130  4 Sc 2.94, 1 Al 3.11, 4 Ho 3.12
Al  0.5000  0.5000  0.2941  8 Ho 3.09-3.10
Ho  0.0000  0.0000  0.6031  8 Al 3.10
Al  0.5000  0.5000  0.5000  8 Ho 3.10
Ho  0.0000  0.0000  0.1916  8 Al 3.09-3.12, 1 Sc 3.43
Al  0.5000  0.5000  0.7059  8 Ho 3.09-3.10
Ho  0.0000  0.0000  0.8084  8 Al 3.09-3.12, 1 Sc 3.43
Sc  0.0000  0.0000  0.0000  8 Al 2.94
Al  0.5000  0.5000  0.0870  4 Sc 2.94, 1 Al 3.11, 4 Ho 3.12

- ρ (g cm⁻³) = 6.3
- ΔE_f (eV per atom) = -0.403
- space-group type = P4/mmm (123)
- density of states at the Fermi level (states/eV/atom) = 0.469

=====

# 7
A geometry-optimized HoScAl structure, computed with PBE-GGA.

a b c (Å): 3.5725 5.0755 8.0236
angles (deg): 90.00 102.86 90.00
With the nearest neighbours (Å) after each atom.
Element x y z (fractional)
Sc  0.7315  0.2500  0.4632  2 Al 2.90, 4 Sc 3.16
Al  0.9143  0.7500  0.8284  2 Sc 2.90, 6 Ho 3.10-3.14
Sc  0.2685  0.7500  0.5368  2 Al 2.90, 4 Sc 3.16
Ho  0.4208  0.2500  0.8412  6 Al 3.10-3.14, 2 Sc 3.45
Al  0.0857  0.2500  0.1716  2 Sc 2.90, 6 Ho 3.10-3.14
Ho  0.5792  0.7500  0.1588  6 Al 3.10-3.14, 2 Sc 3.45

- ρ (g cm⁻³) = 5.5
- ΔE_f (eV per atom) = -0.293
- space-group type = Cmcm (63)
- ΔE to the lowest computed polymorph (meV/atom) = 0
- density of states at the Fermi level (states/eV/atom) = 1.028

=====

# 8
A geometry-optimized Ho6ScAl2 structure, computed with PBE-GGA.

a b c (Å): 3.5834 6.4433 11.4209
angles (deg): 74.37 80.97 73.85
With the nearest neighbours (Å) after each atom.
Element x y z (fractional)
Ho  0.0270  0.2792  0.6669  2 Al 3.10, 3 Ho 3.34-3.44
Al  0.6443  0.8985  0.8129  2 Sc 2.95, 6 Ho 3.10-3.25
Ho  0.9730  0.7208  0.3331  2 Al 3.10, 3 Ho 3.34-3.44
Ho  0.3095  0.7869  0.5940  2 Al 3.25, 10 Ho 3.33-3.58
Ho  0.3225  0.4762  0.8789  2 Al 3.11, 5 Ho 3.33-3.44, 2 Sc 3.44
Ho  0.6905  0.2131  0.4060  2 Al 3.25, 10 Ho 3.33-3.58
Al  0.3557  0.1015  0.1871  2 Sc 2.95, 6 Ho 3.10-3.25
Ho  0.6775  0.5238  0.1211  2 Al 3.11, 5 Ho 3.33-3.44, 2 Sc 3.44
Sc  0.0000  0.0000  0.0000  4 Al 2.95

- ρ (g cm⁻³) = 7.4
- ΔE_f (eV per atom) = -0.165
- space-group type = C2/m (12)
- density of states at the Fermi level (states/eV/atom) = 1.205

=====

Question: Which value of ΔE_f does entry 8 give?
Answer: -0.165 eV per atom